(1)
PBE CaErCd2Pd4, optimized geometry; DFT formation energy = -0.66 eV per atom; ρ = 9.21 Mg/m³; uncorrected energy = -4.308 eV per atom
1.0
4.797 0.000 0.000
2.398 4.154 0.000
2.398 1.385 7.761
Ca Er Cd Pd
1 1 2 4
Direct
0.000 0.000 0.000
0.500 0.500 0.500
0.749 0.749 0.753
0.251 0.251 0.247
0.378 0.378 0.867
0.872 0.872 0.383
0.128 0.128 0.617
0.622 0.622 0.133


(2)
PBE PmZrBi2O6, optimized geometry; ρ = 7.90 Mg/m³; uncorrected energy = -7.279 eV per atom; ΔE_f (raw) = -2198 meV/atom
1.0
6.153 0.000 -0.001
-3.076 5.329 -0.002
-3.075 -1.777 4.812
Pm Zr Bi O
1 1 2 6
Direct
0.991 0.495 0.472
0.025 0.012 0.023
0.575 0.787 0.348
0.496 0.248 0.730
0.526 0.874 0.697
0.471 0.119 0.212
0.877 0.755 0.213
0.107 0.351 0.212
0.837 0.651 0.697
0.061 0.186 0.697


(3)
PBE TaTi2Al5Pt2, optimized geometry; DFT formation energy = -0.58 eV per atom; ρ = 8.17 Mg/m³; uncorrected energy = -6.421 eV per atom
1.0
4.061 0.000 0.000
0.000 8.958 0.000
0.000 0.000 8.958
Ta Ti Al Pt
2 4 10 4
Direct
0.000 0.000 0.000
0.000 0.500 0.500
0.000 0.670 0.170
0.000 0.330 0.830
0.000 0.170 0.330
0.000 0.830 0.670
0.500 0.203 0.066
0.500 0.797 0.934
0.500 0.066 0.797
0.500 0.703 0.434
0.500 0.934 0.203
0.500 0.297 0.566
0.500 0.566 0.703
0.500 0.434 0.297
0.500 0.500 0.000
0.500 0.000 0.500
0.000 0.128 0.628
0.000 0.872 0.372
0.000 0.628 0.872
0.000 0.372 0.128


(4)
PBE DyCd4B3Pt12, optimized geometry; DFT formation energy = 0.05 eV per atom; ρ = 14.06 Mg/m³; uncorrected energy = -4.992 eV per atom
1.0
7.708 0.000 0.000
-2.569 7.268 0.000
-2.569 -3.634 6.294
Dy Cd B Pt
1 4 3 12
Direct
0.000 0.000 0.000
0.500 0.500 0.500
0.000 0.000 0.500
0.500 0.000 0.000
0.000 0.500 0.000
0.500 0.000 0.500
0.500 0.500 0.000
0.000 0.500 0.500
0.250 0.500 0.750
0.717 0.000 0.717
0.283 0.000 0.283
0.750 0.500 0.250
0.717 0.717 0.000
0.283 0.283 0.000
0.750 0.250 0.500
0.250 0.750 0.500
0.500 0.250 0.750
0.000 0.717 0.717
0.500 0.750 0.250
0.000 0.283 0.283


(5)
PBE AcLaI6, optimized geometry; ρ = 4.62 Mg/m³; uncorrected energy = -3.773 eV per atom; ΔE_f (raw) = -1481 meV/atom
1.0
7.985 0.010 0.011
3.983 6.918 0.016
3.980 2.300 7.344
Ac La I
1 1 6
Direct
0.000 0.000 0.000
0.500 0.500 0.500
0.087 0.422 0.746
0.744 0.087 0.747
0.578 0.256 0.254
0.256 0.913 0.253
0.913 0.578 0.254
0.422 0.744 0.746


(6)
PBE Pm3Er2Tm6, optimized geometry; DFT formation energy = 0.28 eV per atom; ρ = 8.10 Mg/m³; uncorrected energy = -4.283 eV per atom
1.0
-2.064 -1.069 -4.093
2.478 -3.997 -0.206
-12.223 -5.333 10.263
Pm Er Tm
3 2 6
Direct
0.000 0.000 0.000
0.796 0.796 0.593
0.204 0.204 0.407
0.454 0.454 0.907
0.546 0.546 0.093
0.121 0.621 0.242
0.621 0.121 0.242
0.879 0.379 0.758
0.379 0.879 0.758
0.693 0.693 0.385
0.307 0.307 0.615


(7)
PBE CuTcTe2, optimized geometry; ρ = 6.52 Mg/m³; uncorrected energy = -4.938 eV per atom; ΔE_f (raw) = 248 meV/atom
1.0
5.917 0.000 0.000
0.000 5.917 0.000
2.959 2.959 6.060
Te Tc Cu
4 2 2
Direct
0.627 0.125 0.250
0.123 0.625 0.250
0.375 0.373 0.750
0.875 0.877 0.750
0.000 0.000 0.000
0.750 0.250 0.500
0.500 0.500 0.000
0.250 0.750 0.500


(8)
PBE NpZnGaPt, optimized geometry; DFT formation energy = -0.27 eV per atom; ρ = 12.61 Mg/m³; uncorrected energy = -6.088 eV per atom
1.0
4.727 0.000 0.000
2.364 4.094 0.000
2.364 1.365 3.860
Np Zn Ga Pt
1 1 1 1
Direct
0.000 0.000 0.000
0.250 0.250 0.250
0.500 0.500 0.500
0.750 0.750 0.750


(9)
PBE Ce5GaGe4, optimized geometry; DFT formation energy = -0.61 eV per atom; ρ = 7.66 Mg/m³; uncorrected energy = -5.730 eV per atom
1.0
-1.961 2.721 -3.293
1.263 -4.357 -4.353
-7.909 2.174 9.860
Ce Ga Ge
5 1 4
Direct
0.896 0.902 0.793
0.702 0.708 0.404
0.298 0.292 0.596
0.500 0.500 0.000
0.104 0.098 0.207
0.500 0.000 0.000
0.301 0.808 0.602
0.906 0.443 0.813
0.699 0.192 0.398
0.094 0.557 0.187


(10)
PBE ZrTi2Tc, optimized geometry; DFT formation energy = -0.07 eV per atom; ρ = 6.91 Mg/m³; uncorrected energy = -8.743 eV per atom
1.0
3.271 0.000 0.000
0.000 4.574 0.000
0.000 0.000 4.574
Tc Zr Ti
1 1 2
Direct
0.500 0.000 0.000
0.500 0.500 0.500
0.000 0.000 0.500
0.000 0.500 0.000


(11)
PBE Sc4InGaC, optimized geometry; DFT formation energy = -0.46 eV per atom; ρ = 4.32 Mg/m³; uncorrected energy = -6.221 eV per atom
1.0
-6.341 0.500 -0.686
0.569 -1.350 -6.236
2.474 -7.132 1.770
Sc In Ga C
8 2 2 2
Direct
0.915 0.250 0.830
0.407 0.750 0.814
0.085 0.750 0.170
0.593 0.250 0.186
0.500 0.500 0.500
0.000 0.000 0.500
0.500 0.000 0.500
0.000 0.500 0.500
0.613 0.750 0.226
0.387 0.250 0.774
0.122 0.250 0.244
0.878 0.750 0.756
0.247 0.750 0.495
0.753 0.250 0.505


(12)
PBE Rb2HfInAg, optimized geometry; DFT formation energy = 0.92 eV per atom; ρ = 4.27 Mg/m³; uncorrected energy = -2.580 eV per atom
1.0
-3.248 -0.461 -5.451
4.716 0.042 -2.814
0.278 -6.345 0.371
Hf Rb Ag In
1 2 1 1
Direct
0.000 0.500 0.000
0.000 0.000 0.500
0.500 0.000 0.000
0.000 0.000 0.000
0.500 0.500 0.500


Repeat the second record exactly.
PBE PmZrBi2O6, optimized geometry; ρ = 7.90 Mg/m³; uncorrected energy = -7.279 eV per atom; ΔE_f (raw) = -2198 meV/atom
1.0
6.153 0.000 -0.001
-3.076 5.329 -0.002
-3.075 -1.777 4.812
Pm Zr Bi O
1 1 2 6
Direct
0.991 0.495 0.472
0.025 0.012 0.023
0.575 0.787 0.348
0.496 0.248 0.730
0.526 0.874 0.697
0.471 0.119 0.212
0.877 0.755 0.213
0.107 0.351 0.212
0.837 0.651 0.697
0.061 0.186 0.697


Repeat the third record exactly.
PBE TaTi2Al5Pt2, optimized geometry; DFT formation energy = -0.58 eV per atom; ρ = 8.17 Mg/m³; uncorrected energy = -6.421 eV per atom
1.0
4.061 0.000 0.000
0.000 8.958 0.000
0.000 0.000 8.958
Ta Ti Al Pt
2 4 10 4
Direct
0.000 0.000 0.000
0.000 0.500 0.500
0.000 0.670 0.170
0.000 0.330 0.830
0.000 0.170 0.330
0.000 0.830 0.670
0.500 0.203 0.066
0.500 0.797 0.934
0.500 0.066 0.797
0.500 0.703 0.434
0.500 0.934 0.203
0.500 0.297 0.566
0.500 0.566 0.703
0.500 0.434 0.297
0.500 0.500 0.000
0.500 0.000 0.500
0.000 0.128 0.628
0.000 0.872 0.372
0.000 0.628 0.872
0.000 0.372 0.128